(1)
Cr3H12Pd5 | PBE-GGA | relaxed

Structure (CIF):
```
data_Cr3H12Pd5
_chemical_formula_sum 'Cr24 H96 Pd40'
_cell_length_a 10.9191
_cell_length_b 10.9191
_cell_length_c 10.9191
_cell_angle_alpha 90.00
_cell_angle_beta 90.00
_cell_angle_gamma 90.00
_space_group_name_H-M_alt 'I a -3 d'
_space_group_IT_number 230
_space_group_name_Hall '-I 4bd 2c 3'
loop_
_atom_site_label
_atom_site_fract_x
_atom_site_fract_y
_atom_site_fract_z
Cr1 0.0000 0.2500 0.1250
H1 0.0102 0.0686 0.6564
Pd1 0.0000 0.0000 0.0000
Pd2 0.0000 0.2500 0.3750
```

---

(2)
Cr2HPd | PBE-GGA | relaxed

Results
The relative energy among the computed polymorphs comes out at 95 meV/atom.

Structure (CIF):
```
data_Cr2HPd
_chemical_formula_sum 'Cr2 H1 Pd1'
_cell_length_a 2.8298
_cell_length_b 3.6580
_cell_length_c 4.9365
_cell_angle_alpha 111.41
_cell_angle_beta 105.88
_cell_angle_gamma 90.11
_space_group_name_H-M_alt 'P 1'
_space_group_IT_number 1
loop_
_space_group_symop_operation_xyz
'x,y,z'
loop_
_atom_site_label
_atom_site_fract_x
_atom_site_fract_y
_atom_site_fract_z
Cr1 0.0000 0.0000 0.0000
Cr2 0.3474 0.2870 0.7086
H1 0.5148 0.7262 0.0351
Pd1 0.6893 0.6208 0.3835
```

---

(3)
CrH2Pd | PBE-GGA | relaxed

Results
The relative energy among the computed polymorphs comes out at 125 meV/atom.

Structure (CIF):
```
data_CrH2Pd
_chemical_formula_sum 'Cr4 H8 Pd4'
_cell_length_a 4.0930
_cell_length_b 4.0930
_cell_length_c 8.1275
_cell_angle_alpha 90.00
_cell_angle_beta 90.00
_cell_angle_gamma 90.00
_space_group_name_H-M_alt 'I -4 2 d'
_space_group_IT_number 122
_space_group_name_Hall 'I -4 2bw'
loop_
_atom_site_label
_atom_site_fract_x
_atom_site_fract_y
_atom_site_fract_z
Cr1 0.0000 0.0000 0.0000
H1 0.2264 0.2500 0.1250
Pd1 0.0000 0.0000 0.5000
```

---

(4)
Cr2HPd | PBE-GGA | relaxed

Results
The relative energy among the computed polymorphs comes out at 13 meV/atom.

Structure (CIF):
```
data_Cr2HPd
_chemical_formula_sum 'Cr2 H1 Pd1'
_cell_length_a 2.6754
_cell_length_b 2.6755
_cell_length_c 6.4643
_cell_angle_alpha 84.06
_cell_angle_beta 84.13
_cell_angle_gamma 64.33
_space_group_name_H-M_alt 'P 1'
_space_group_IT_number 1
loop_
_space_group_symop_operation_xyz
'x,y,z'
loop_
_atom_site_label
_atom_site_fract_x
_atom_site_fract_y
_atom_site_fract_z
Cr1 0.0000 0.0000 0.0000
Cr2 0.4557 0.4563 0.2755
H1 0.3602 0.3623 0.8447
Pd1 0.7443 0.7399 0.6150
```

---

(5)
Cr2HPd | PBE-GGA | relaxed

Results
The relative energy among the computed polymorphs comes out at 79 meV/atom.

Structure (CIF):
```
data_Cr2HPd
_chemical_formula_sum 'Cr4 H2 Pd2'
_cell_length_a 11.6599
_cell_length_b 2.8119
_cell_length_c 2.6954
_cell_angle_alpha 90.00
_cell_angle_beta 99.99
_cell_angle_gamma 90.00
_space_group_name_H-M_alt 'C 1 m 1'
_space_group_IT_number 8
loop_
_space_group_symop_operation_xyz
'x,y,z'
'x,-y,z'
'x+1/2,y+1/2,z'
'x+1/2,-y+1/2,z'
loop_
_atom_site_label
_atom_site_fract_x
_atom_site_fract_y
_atom_site_fract_z
Cr1 0.0000 0.0000 0.0000
Cr2 0.1255 0.5000 0.7851
H1 0.2305 0.5000 0.3386
Pd1 0.3333 0.0000 0.4042
```

---

(6)
Cr2HPd | PBE-GGA | relaxed

Results
The relative energy among the computed polymorphs comes out at 876 meV/atom.

Structure (CIF):
```
data_Cr2HPd
_chemical_formula_sum 'Cr8 H4 Pd4'
_cell_length_a 5.7274
_cell_length_b 5.7274
_cell_length_c 5.7274
_cell_angle_alpha 90.00
_cell_angle_beta 90.00
_cell_angle_gamma 90.00
_space_group_name_H-M_alt 'F m -3 m'
_space_group_IT_number 225
_space_group_name_Hall '-F 4 2 3'
loop_
_atom_site_label
_atom_site_fract_x
_atom_site_fract_y
_atom_site_fract_z
Cr1 0.2500 0.2500 0.2500
H1 0.0000 0.0000 0.0000
Pd1 0.0000 0.0000 0.5000
```

---

(7)
Cr2HPd | PBE-GGA | relaxed

Results
The relative energy among the computed polymorphs comes out at 55 meV/atom.

Structure (CIF):
```
data_Cr2HPd
_chemical_formula_sum 'Cr6 H3 Pd3'
_cell_length_a 2.6836
_cell_length_b 2.6836
_cell_length_c 19.5617
_cell_angle_alpha 90.00
_cell_angle_beta 90.00
_cell_angle_gamma 120.00
_space_group_name_H-M_alt 'R 3 m'
_space_group_IT_number 160
_space_group_name_Hall 'R 3 -2"'
loop_
_atom_site_label
_atom_site_fract_x
_atom_site_fract_y
_atom_site_fract_z
Cr1 0.0000 0.0000 0.0000
Cr2 0.0000 0.0000 0.2231
H1 0.0000 0.0000 0.6125
Pd1 0.0000 0.0000 0.4440
```

---

(8)
CrH2Pd2 | PBE-GGA | relaxed

Results
The relative energy among the computed polymorphs comes out at 6 meV/atom.

Structure (CIF):
```
data_CrH2Pd2
_chemical_formula_sum 'Cr2 H4 Pd4'
_cell_length_a 3.2845
_cell_length_b 3.2845
_cell_length_c 9.6487
_cell_angle_alpha 90.00
_cell_angle_beta 90.00
_cell_angle_gamma 90.00
_space_group_name_H-M_alt 'I 4/m m m'
_space_group_IT_number 139
_space_group_name_Hall '-I 4 2'
loop_
_atom_site_label
_atom_site_fract_x
_atom_site_fract_y
_atom_site_fract_z
Cr1 0.0000 0.0000 0.0000
H1 0.0000 0.5000 0.2500
Pd1 0.0000 0.0000 0.3484
```

---

(9)
CrHPd4 | PBE-GGA | relaxed

Structure (CIF):
```
data_CrHPd4
_chemical_formula_sum 'Cr4 H4 Pd16'
_cell_length_a 13.9836
_cell_length_b 4.8262
_cell_length_c 4.7579
_cell_angle_alpha 90.00
_cell_angle_beta 92.65
_cell_angle_gamma 90.00
_space_group_name_H-M_alt 'C 1 2/c 1'
_space_group_IT_number 15
loop_
_space_group_symop_operation_xyz
'x,y,z'
'-x,-y,-z'
'-x,y,-z+1/2'
'x,-y,z+1/2'
'x+1/2,y+1/2,z'
'-x+1/2,-y+1/2,-z'
'-x+1/2,y+1/2,-z+1/2'
'x+1/2,-y+1/2,z+1/2'
loop_
_atom_site_label
_atom_site_fract_x
_atom_site_fract_y
_atom_site_fract_z
Cr1 0.0000 0.1821 0.2500
H1 0.2500 0.2500 0.0000
Pd1 0.0963 0.3333 0.7745
Pd2 0.1921 0.1571 0.2859
```

---

(10)
CrH2Pd | PBE-GGA | relaxed

Results
The relative energy among the computed polymorphs comes out at 0 meV/atom.

Structure (CIF):
```
data_CrH2Pd
_chemical_formula_sum 'Cr3 H6 Pd3'
_cell_length_a 2.9129
_cell_length_b 2.9129
_cell_length_c 14.5736
_cell_angle_alpha 90.00
_cell_angle_beta 90.00
_cell_angle_gamma 120.00
_space_group_name_H-M_alt 'R -3 m'
_space_group_IT_number 166
_space_group_name_Hall '-R 3 2"'
loop_
_atom_site_label
_atom_site_fract_x
_atom_site_fract_y
_atom_site_fract_z
Cr1 0.0000 0.0000 0.0000
H1 0.0000 0.0000 0.3777
Pd1 0.0000 0.0000 0.5000
```

---

(11)
CrHPd2 | PBE-GGA | relaxed

Results
The relative energy among the computed polymorphs comes out at 248 meV/atom.

Structure (CIF):
```
data_CrHPd2
_chemical_formula_sum 'Cr4 H4 Pd8'
_cell_length_a 6.1561
_cell_length_b 6.1561
_cell_length_c 4.9633
_cell_angle_alpha 90.00
_cell_angle_beta 90.00
_cell_angle_gamma 90.00
_space_group_name_H-M_alt 'I -4 2 d'
_space_group_IT_number 122
_space_group_name_Hall 'I -4 2bw'
loop_
_atom_site_label
_atom_site_fract_x
_atom_site_fract_y
_atom_site_fract_z
Cr1 0.0000 0.0000 0.0000
H1 0.0000 0.0000 0.5000
Pd1 0.1475 0.2500 0.6250
```

---

(12)
CrHPd2 | PBE-GGA | relaxed

Results
The relative energy among the computed polymorphs comes out at 0 meV/atom.

Structure (CIF):
```
data_CrHPd2
_chemical_formula_sum 'Cr3 H3 Pd6'
_cell_length_a 2.7820
_cell_length_b 2.7820
_cell_length_c 20.1254
_cell_angle_alpha 90.00
_cell_angle_beta 90.00
_cell_angle_gamma 120.00
_space_group_name_H-M_alt 'R 3 m'
_space_group_IT_number 160
_space_group_name_Hall 'R 3 -2"'
loop_
_atom_site_label
_atom_site_fract_x
_atom_site_fract_y
_atom_site_fract_z
Cr1 0.0000 0.0000 0.0000
H1 0.0000 0.0000 0.1637
Pd1 0.0000 0.0000 0.5640
Pd2 0.0000 0.0000 0.7701
```

---

(13)
CrHPd | PBE-GGA | relaxed

Results
The relative energy among the computed polymorphs comes out at 0 meV/atom.

Structure (CIF):
```
data_CrHPd
_chemical_formula_sum 'Cr1 H1 Pd1'
_cell_length_a 2.8675
_cell_length_b 2.8675
_cell_length_c 4.2494
_cell_angle_alpha 90.00
_cell_angle_beta 90.00
_cell_angle_gamma 120.00
_space_group_name_H-M_alt 'P -6 m 2'
_space_group_IT_number 187
_space_group_name_Hall 'P -6 2'
loop_
_atom_site_label
_atom_site_fract_x
_atom_site_fract_y
_atom_site_fract_z
Cr1 0.0000 0.0000 0.0000
H1 0.3333 0.6667 0.0000
Pd1 0.6667 0.3333 0.5000
```

---

(14)
CrH6Pd12 | PBE-GGA | relaxed

Structure (CIF):
```
data_CrH6Pd12
_chemical_formula_sum 'Cr3 H18 Pd36'
_cell_length_a 10.7362
_cell_length_b 10.7362
_cell_length_c 6.5921
_cell_angle_alpha 90.00
_cell_angle_beta 90.00
_cell_angle_gamma 120.00
_space_group_name_H-M_alt 'R -3'
_space_group_IT_number 148
_space_group_name_Hall '-R 3'
loop_
_atom_site_label
_atom_site_fract_x
_atom_site_fract_y
_atom_site_fract_z
Cr1 0.0000 0.0000 0.0000
H1 0.0107 0.2027 0.3454
Pd1 0.0175 0.1637 0.6752
Pd2 0.0401 0.2653 0.0815
```

---

(15)
Cr2HPd | PBE-GGA | relaxed

Results
The relative energy among the computed polymorphs comes out at 376 meV/atom.

Structure (CIF):
```
data_Cr2HPd
_chemical_formula_sum 'Cr8 H4 Pd4'
_cell_length_a 5.0205
_cell_length_b 5.0205
_cell_length_c 7.0824
_cell_angle_alpha 90.00
_cell_angle_beta 90.00
_cell_angle_gamma 90.00
_space_group_name_H-M_alt 'I 41/a m d'
_space_group_IT_number 141
loop_
_space_group_symop_operation_xyz
'x,y,z'
'-x,-y,-z'
'-y+1/4,x+3/4,z+1/4'
'y+1/4,-x+3/4,-z+1/4'
'-x+1/2,-y,z+1/2'
'x+1/2,y,-z+1/2'
'y+1/4,-x+1/4,z+3/4'
'-y+1/4,x+1/4,-z+3/4'
'x,-y,-z'
'-x,y,z'
'-y+1/4,-x+1/4,-z+3/4'
'y+1/4,x+1/4,z+3/4'
'-x+1/2,y,-z+1/2'
'x+1/2,-y,z+1/2'
'y+1/4,x+3/4,-z+1/4'
'-y+1/4,-x+3/4,z+1/4'
'x+1/2,y+1/2,z+1/2'
'-x+1/2,-y+1/2,-z+1/2'
'-y+3/4,x+1/4,z+3/4'
'y+3/4,-x+1/4,-z+3/4'
'-x,-y+1/2,z'
'x,y+1/2,-z'
'y+3/4,-x+3/4,z+1/4'
'-y+3/4,x+3/4,-z+1/4'
'x+1/2,-y+1/2,-z+1/2'
'-x+1/2,y+1/2,z+1/2'
'-y+3/4,-x+3/4,-z+1/4'
'y+3/4,x+3/4,z+1/4'
'-x,y+1/2,-z'
'x,-y+1/2,z'
'y+3/4,x+1/4,-z+3/4'
'-y+3/4,-x+1/4,z+3/4'
loop_
_atom_site_label
_atom_site_fract_x
_atom_site_fract_y
_atom_site_fract_z
Cr1 0.0000 0.0000 0.0000
H1 0.0000 0.2500 0.8750
Pd1 0.0000 0.2500 0.3750
```

---

(16)
CrHPd2 | PBE-GGA | relaxed

Results
The relative energy among the computed polymorphs comes out at 237 meV/atom.

Structure (CIF):
```
data_CrHPd2
_chemical_formula_sum 'Cr3 H3 Pd6'
_cell_length_a 2.7231
_cell_length_b 2.7231
_cell_length_c 22.1577
_cell_angle_alpha 90.00
_cell_angle_beta 90.00
_cell_angle_gamma 120.00
_space_group_name_H-M_alt 'R -3 m'
_space_group_IT_number 166
_space_group_name_Hall '-R 3 2"'
loop_
_atom_site_label
_atom_site_fract_x
_atom_site_fract_y
_atom_site_fract_z
Cr1 0.0000 0.0000 0.0000
H1 0.0000 0.0000 0.5000
Pd1 0.0000 0.0000 0.1083
```

---

(17)
Cr2H9Pd14 | PBE-GGA | relaxed

Structure (CIF):
```
data_Cr2H9Pd14
_chemical_formula_sum 'Cr2 H9 Pd14'
_cell_length_a 7.5432
_cell_length_b 7.5432
_cell_length_c 5.7613
_cell_angle_alpha 90.00
_cell_angle_beta 90.00
_cell_angle_gamma 120.00
_space_group_name_H-M_alt 'P -3'
_space_group_IT_number 147
loop_
_space_group_symop_operation_xyz
'x,y,z'
'-x,-y,-z'
'-y,x-y,z'
'y,-x+y,-z'
'-x+y,-x,z'
'x-y,x,-z'
loop_
_atom_site_label
_atom_site_fract_x
_atom_site_fract_y
_atom_site_fract_z
Cr1 0.3333 0.6667 0.2737
H1 0.0000 0.0000 0.0000
H2 0.0870 0.3034 0.3069
H3 0.3333 0.6667 0.9160
Pd1 0.0000 0.0000 0.2711
Pd2 0.9995 0.3430 0.5999
Pd3 0.1023 0.6934 0.9041
```

---

(18)
CrH2Pd | PBE-GGA | relaxed

Results
The relative energy among the computed polymorphs comes out at 17 meV/atom.

Structure (CIF):
```
data_CrH2Pd
_chemical_formula_sum 'Cr3 H6 Pd3'
_cell_length_a 2.7649
_cell_length_b 2.7649
_cell_length_c 14.7241
_cell_angle_alpha 90.00
_cell_angle_beta 90.00
_cell_angle_gamma 120.00
_space_group_name_H-M_alt 'R 3 m'
_space_group_IT_number 160
_space_group_name_Hall 'R 3 -2"'
loop_
_atom_site_label
_atom_site_fract_x
_atom_site_fract_y
_atom_site_fract_z
Cr1 0.0000 0.0000 0.0000
H1 0.0000 0.0000 0.3927
H2 0.0000 0.0000 0.6124
Pd1 0.0000 0.0000 0.1765
```

---

(19)
CrHPd2 | PBE-GGA | relaxed

Results
The relative energy among the computed polymorphs comes out at 109 meV/atom.

Structure (CIF):
```
data_CrHPd2
_chemical_formula_sum 'Cr1 H1 Pd2'
_cell_length_a 2.6727
_cell_length_b 2.6727
_cell_length_c 6.4327
_cell_angle_alpha 90.00
_cell_angle_beta 90.00
_cell_angle_gamma 90.00
_space_group_name_H-M_alt 'P 4/m m m'
_space_group_IT_number 123
_space_group_name_Hall '-P 4 2'
loop_
_atom_site_label
_atom_site_fract_x
_atom_site_fract_y
_atom_site_fract_z
Cr1 0.0000 0.0000 0.0000
H1 0.0000 0.0000 0.5000
Pd1 0.5000 0.5000 0.2884
```

---

(20)
Cr2HPd9 | PBE-GGA | relaxed

Structure (CIF):
```
data_Cr2HPd9
_chemical_formula_sum 'Cr2 H1 Pd9'
_cell_length_a 3.9107
_cell_length_b 3.9107
_cell_length_c 11.3418
_cell_angle_alpha 90.00
_cell_angle_beta 90.00
_cell_angle_gamma 90.00
_space_group_name_H-M_alt 'P 4/m m m'
_space_group_IT_number 123
_space_group_name_Hall '-P 4 2'
loop_
_atom_site_label
_atom_site_fract_x
_atom_site_fract_y
_atom_site_fract_z
Cr1 0.0000 0.0000 0.1748
H1 0.0000 0.0000 0.5000
Pd1 0.0000 0.5000 0.0000
Pd2 0.0000 0.5000 0.3418
Pd3 0.5000 0.5000 0.1708
Pd4 0.5000 0.5000 0.5000
```

---

(21)
Cr2HPd | PBE-GGA | relaxed

Results
The relative energy among the computed polymorphs comes out at 0 meV/atom.

Structure (CIF):
```
data_Cr2HPd
_chemical_formula_sum 'Cr4 H2 Pd2'
_cell_length_a 4.5587
_cell_length_b 2.8434
_cell_length_c 6.7606
_cell_angle_alpha 90.00
_cell_angle_beta 109.09
_cell_angle_gamma 90.00
_space_group_name_H-M_alt 'C 1 m 1'
_space_group_IT_number 8
loop_
_space_group_symop_operation_xyz
'x,y,z'
'x,-y,z'
'x+1/2,y+1/2,z'
'x+1/2,-y+1/2,z'
loop_
_atom_site_label
_atom_site_fract_x
_atom_site_fract_y
_atom_site_fract_z
Cr1 0.0000 0.0000 0.0000
Cr2 0.1352 0.5000 0.2742
H1 0.0440 0.0000 0.4319
Pd1 0.4971 0.0000 0.6594
```

---

| no. | DFT total energy (Ry/atom) | Fermi-level density of states (states/eV/f.u.) | magnetic moment (μB per formula unit) |
| --- | --- | --- | --- |
| 1 | -0.3450 | 8.69 | 10.07 |
| 2 | -0.4992 | 3.82 | 0.42 |
| 3 | -0.3835 | 2.13 | 0.00 |
| 4 | -0.5052 | 3.18 | 0.00 |
| 5 | -0.5003 | 2.66 | 0.00 |
| 6 | -0.4417 | 4.35 | 0.00 |
| 7 | -0.5021 | 3.93 | 1.17 |
| 8 | -0.3879 | 3.48 | 3.38 |
| 9 | -0.4116 | 6.44 | 3.59 |
| 10 | -0.3927 | 2.86 | 2.84 |
| 11 | -0.4031 | 7.76 | 0.00 |
| 12 | -0.4213 | 3.61 | 0.57 |
| 13 | -0.4342 | 2.45 | 1.20 |
| 14 | -0.3581 | 20.16 | 3.45 |
| 15 | -0.4785 | 4.16 | 0.00 |
| 16 | -0.4039 | 2.93 | 0.34 |
| 17 | -0.3545 | 15.94 | 7.76 |
| 18 | -0.3915 | 2.51 | 0.63 |
| 19 | -0.4133 | 2.52 | 0.79 |
| 20 | -0.4166 | 19.18 | 5.06 |
| 21 | -0.5061 | 2.74 | 0.00 |